Record 1
# PBE-GGA Er3PaTc4, relaxed
data_Er3PaTc4
_space_group_name_H-M_alt 'C 1 2/m 1'
_space_group_IT_number 12
_space_group_name_Hall '-C 2y'
_cell_length_a 14.2162
_cell_length_b 4.7509
_cell_length_c 4.8621
_cell_angle_alpha 90.00
_cell_angle_beta 105.79
_cell_angle_gamma 90.00
loop_
_atom_site_label
_atom_site_fract_x
_atom_site_fract_y
_atom_site_fract_z
Er1 0.0000 0.0000 0.0000
Er2 0.2468 0.0000 0.2421
Pa1 0.0000 0.5000 0.5000
Tc1 0.1142 0.5000 0.1578
Tc2 0.1156 0.0000 0.6160
# energy: -8.206 eV per atom
# DOS(E_F): 9.54 states/eV/f.u.
# volume: 158 Å³/f.u.
# formation energy from the elements: -125 meV per atom

Record 2
# PBE-GGA Er2ThPaTc2, relaxed
data_Er2ThPaTc2
_space_group_name_H-M_alt 'I b a m'
_space_group_IT_number 72
_space_group_name_Hall '-I 2 2c'
_cell_length_a 7.0684
_cell_length_b 13.2309
_cell_length_c 6.8135
_cell_angle_alpha 90.00
_cell_angle_beta 90.00
_cell_angle_gamma 90.00
loop_
_atom_site_label
_atom_site_fract_x
_atom_site_fract_y
_atom_site_fract_z
Er1 0.1842 0.1970 0.0000
Th1 0.0000 0.5000 0.2500
Pa1 0.0000 0.0000 0.2500
Tc1 0.2170 0.0959 0.5000
# energy: -7.852 eV per atom
# DOS(E_F): 6.18 states/eV/f.u.
# volume: 159 Å³/f.u.
# formation energy from the elements: -57 meV per atom

Which value of energy does entry 2 give? -7.852 eV per atom

What is the volume in the second record? 159 Å³/f.u.

formation energy from the elements of number 2 (Er2ThPaTc2)? -57 meV per atom